# LaGa2Hg

LaGa2Hg after structural relaxation (PBE-GGA, OQMD via LeMat-Bulk).

Lattice parameters (Å, degrees): 6.7541 6.7541 4.6664 90.00 90.00 118.36
Sites, in units of the cell vectors:
Ga (0.1528, 0.2996, 0.7500)
Ga (0.2996, 0.1528, 0.2500)
Ga (0.8472, 0.7004, 0.2500)
Ga (0.7004, 0.8472, 0.7500)
Hg (0.1485, 0.8515, 0.7500)
Hg (0.8515, 0.1485, 0.2500)
La (0.6611, 0.3389, 0.7500)
La (0.3389, 0.6611, 0.2500)

Results
- magnetic moment (μB/f.u.) = 0.00
- total DFT energy (no corrections) (eV per formula unit) = -13.23

# HgB4Au

HgB4Au after structural relaxation (PBE-GGA, OQMD via LeMat-Bulk).

Lattice parameters (Å, degrees): 2.9993 2.9993 9.8025 90.00 90.00 120.00
Sites, in units of the cell vectors:
B (0.6667, 0.3333, 0.2930)
B (0.3333, 0.6667, 0.7070)
B (0.6667, 0.3333, 0.7070)
B (0.3333, 0.6667, 0.2930)
Au (0.0000, 0.0000, 0.5000)
Hg (0.0000, 0.0000, 0.0000)

Results
- total DFT energy (no corrections) (eV per formula unit) = -26.35

# Li2Zn2In2NiIr

Li2Zn2In2NiIr after structural relaxation (PBE-GGA, OQMD via LeMat-Bulk).

Lattice parameters (Å, degrees): 4.4105 4.4105 6.2001 90.00 90.00 90.00
Sites, in units of the cell vectors:
Li (0.5000, 0.5000, 0.0000)
Li (0.0000, 0.0000, 0.5000)
Zn (0.0000, 0.5000, 0.7480)
Zn (0.5000, 0.0000, 0.2520)
In (0.0000, 0.5000, 0.2609)
In (0.5000, 0.0000, 0.7391)
Ni (0.5000, 0.5000, 0.5000)
Ir (0.0000, 0.0000, 0.0000)

Results
- magnetic moment (μB/f.u.) = 0.00
- total DFT energy (no corrections) (eV per formula unit) = -28.46

# PrPPdO

PrPPdO after structural relaxation (PBE-GGA, OQMD via LeMat-Bulk).

Lattice parameters (Å, degrees): 4.5842 4.2108 7.0766 90.00 90.00 90.00
Sites, in units of the cell vectors:
Pr (0.0000, 0.2593, 0.6002)
Pr (0.0000, 0.7407, 0.1002)
Pd (0.5000, 0.2386, 0.9400)
Pd (0.5000, 0.7614, 0.4400)
P (0.5000, 0.7392, 0.7772)
P (0.5000, 0.2608, 0.2772)
O (0.0000, 0.2398, 0.9366)
O (0.0000, 0.7602, 0.4366)

Results
- magnetic moment (μB/f.u.) = 0.00
- total DFT energy (no corrections) (eV per formula unit) = -26.34

# YHo2Fe6CoNi2

YHo2Fe6CoNi2 after structural relaxation (PBE-GGA, OQMD via LeMat-Bulk).

Lattice parameters (Å, degrees): 8.6898 8.6898 8.6898 33.31 33.31 33.31
Last column: magnetic moment on the atom in μB.
Sites, in units of the cell vectors:
Co (0.5000, 0.5000, 0.5000)  1.27
Fe (0.4173, 0.9180, 0.4173)  2.27
Fe (0.9180, 0.4173, 0.4173)  2.20
Fe (0.4173, 0.4173, 0.9180)  2.22
Fe (0.0820, 0.5827, 0.5827)  2.20
Fe (0.5827, 0.0820, 0.5827)  2.27
Fe (0.5827, 0.5827, 0.0820)  2.22
Ho (0.8582, 0.8582, 0.8582)  -0.55
Ho (0.1418, 0.1418, 0.1418)  -0.55
Ni (0.3329, 0.3329, 0.3329)  0.47
Ni (0.6671, 0.6671, 0.6671)  0.47
Y (0.0000, 0.0000, 0.0000)  -0.27

Results
- magnetic moment (μB/f.u.) = 14.05
- formation energy from the elements (meV/atom) = -155

# Lu2Nb4P3C3

Lu2Nb4P3C3 after structural relaxation (PBE-GGA, OQMD via LeMat-Bulk).

Lattice parameters (Å, degrees): 5.8373 5.8373 12.4776 103.50 103.50 60.06
Sites, in units of the cell vectors:
Lu (0.6256, 0.4633, 0.8911)
Lu (0.5367, 0.3744, 0.6089)
Lu (0.4633, 0.6256, 0.3911)
Lu (0.3744, 0.5367, 0.1089)
C (0.5000, 0.0000, 0.5000)
C (0.1537, 0.6729, 0.4999)
C (0.6729, 0.1537, 0.9999)
C (0.3271, 0.8463, 0.0001)
C (0.0000, 0.5000, 0.0000)
C (0.8463, 0.3271, 0.5001)
Nb (0.8626, 0.7001, 0.5990)
Nb (0.1374, 0.2999, 0.4010)
Nb (0.0291, 0.2037, 0.0990)
Nb (0.2999, 0.1374, 0.9010)
Nb (0.7001, 0.8626, 0.0990)
Nb (0.2037, 0.0291, 0.5990)
Nb (0.9709, 0.7963, 0.9010)
Nb (0.7963, 0.9709, 0.4010)
P (0.0647, 0.9353, 0.2500)
P (0.9353, 0.0647, 0.7500)
P (0.4162, 0.2309, 0.2490)
P (0.2309, 0.4162, 0.7490)
P (0.5838, 0.7691, 0.7510)
P (0.7691, 0.5838, 0.2510)

Results
- magnetic moment (μB/f.u.) = 0.00
- total DFT energy (no corrections) (eV per formula unit) = -102.63